Density functional theory data (PBEsol) for LiCoW2 after structural relaxation.

a b c (Å): 2.953 4.261 8.570
angles (deg): 90.00 90.00 90.00
Space group Immm (No. 71)
Inequivalent atoms, fractional coordinates:
Li 0.000 0.000 0.000
Co 0.000 0.000 0.500
W 0.000 0.500 0.238

Output
Excess energy over the best structure of this formula in the dataset in kJ per mole of atoms: 4.0
Calculated total energy in eV/atom: -8.959
Energy of formation in meV/atom: 371